Crystalline LiCoPO4 at its relaxed geometry, computed with GGA+U.

Geometry as CIF:
```
data_LiCoPO4
_space_group_name_H-M_alt 'P b c a'
_space_group_IT_number 61
_space_group_name_Hall '-P 2ac 2ab'
_cell_length_a 5.784
_cell_length_b 7.580
_cell_length_c 15.681
_cell_angle_alpha 90.00
_cell_angle_beta 90.00
_cell_angle_gamma 90.00
loop_
_atom_site_label
_atom_site_type_symbol
_atom_site_fract_x
_atom_site_fract_y
_atom_site_fract_z
_atom_site_occupancy
Li1 Li 0.066 0.237 0.228 1
Co1 Co 0.100 0.684 0.465 1
P1 P 0.102 0.543 0.114 1
O1 O 0.024 0.636 0.874 1
O2 O 0.056 0.171 0.439 1
O3 O 0.153 0.622 0.202 1
O4 O 0.169 0.018 0.061 1
```

Summary:
The total energy comes out at -0.4845 Ry/atom.